Record 1
A plane-wave DFT calculation with GGA-PBE was carried out for Pm2TlHPd6 after structural relaxation.

Cell: 7.313 5.780 7.354 Å, 113.61 133.58 89.67°
Fractional positions:
Pm  0.763  0.237  0.483
Pm  0.237  0.764  0.517
Tl  0.500  0.500  0.000
H  0.000  0.000  0.000
Pd  0.772  0.733  0.949
Pd  0.732  0.772  0.555
Pd  0.228  0.268  0.051
Pd  0.775  0.226  0.940
Pd  0.268  0.229  0.444
Pd  0.225  0.775  0.059

Summary:
Total energy ... -51.78 eV/cell
Crystal system ... monoclinic
Magnetic moment ... 0.0 μB/f.u.
SG ... C2/m (12)
Calculated density ... 10.0 Mg/m³

=====

Record 2
A plane-wave DFT calculation with GGA-PBE was carried out for Pm2ZnHPd6 after structural relaxation.

Cell: 5.750 6.869 6.860 Å, 49.62 65.57 90.22°
Fractional positions:
Pm  0.728  0.271  0.548
Pm  0.272  0.729  0.452
Zn  0.000  0.000  0.000
H  0.500  0.500  0.000
Pd  0.272  0.227  0.459
Pd  0.768  0.726  0.963
Pd  0.271  0.727  0.964
Pd  0.729  0.273  0.036
Pd  0.232  0.274  0.037
Pd  0.728  0.773  0.541

Summary:
Total energy ... -51.81 eV/cell
Crystal system ... triclinic
Magnetic moment ... 0.0 μB/f.u.
SG ... P-1 (2)
Calculated density ... 9.6 Mg/m³